(1)
Material: HoCoSi2
Method: DFT, PBE
State: relaxed

abc: 4.035 8.386 8.921
angles: 118.04 103.07 90.00
Fractional positions:
Ho 0.707 0.707 0.414
Ho 0.500 0.258 0.000
Ho 0.500 0.742 0.000
Ho 0.293 0.293 0.586
Co 0.853 0.604 0.707
Co 0.147 0.396 0.293
Co 0.147 0.898 0.293
Co 0.853 0.102 0.707
Si 0.923 0.423 0.845
Si 0.696 0.354 0.392
Si 0.696 0.038 0.392
Si 0.304 0.646 0.608
Si 0.085 0.085 0.170
Si 0.077 0.577 0.155
Si 0.915 0.915 0.830
Si 0.304 0.962 0.608

Summary:
Crystal system: orthorhombic
Uncorrected formation energy in kJ per mole of atoms: -71
SG: No. 71

---

(2)
Material: La4TaPb
Method: DFT, PBE
State: relaxed

abc: 6.396 6.396 6.396
angles: 60.00 60.00 60.00
Fractional positions:
La 0.880 0.373 0.373
La 0.373 0.373 0.880
La 0.373 0.880 0.373
La 0.373 0.373 0.373
Ta 0.000 0.000 0.000
Pb 0.750 0.750 0.750

Summary:
Crystal system: cubic
Raw total energy in eV/atom: -5.286
SG: No. 216